# 1
{"formula": "Ac2LaSm5Y", "functional": "PBE", "state": "optimized geometry", "cell": [[5.930, 0.000, 0.000], [-2.965, 8.954, 0.000], [0.000, 0.000, 12.380]], "species": ["Sm", "Sm", "Sm", "Sm", "Sm", "Sm", "Sm", "Sm", "Sm", "Sm", "Ac", "Ac", "Ac", "Ac", "La", "La", "Y", "Y"], "frac_coords": [[0.270, 0.540, 0.225], [0.728, 0.455, 0.126], [0.438, 0.875, 0.775], [0.272, 0.545, 0.626], [0.085, 0.171, 0.092], [0.559, 0.118, 0.567], [0.441, 0.882, 0.067], [0.562, 0.125, 0.275], [0.915, 0.829, 0.592], [0.730, 0.460, 0.725], [0.082, 0.164, 0.758], [0.890, 0.779, 0.924], [0.110, 0.221, 0.424], [0.918, 0.836, 0.258], [0.749, 0.497, 0.428], [0.251, 0.503, 0.928], [0.392, 0.785, 0.429], [0.608, 0.215, 0.929]], "magnetic_moment_mub_per_atom": 0.000, "delta_e_f_ev_per_atom": 0.08, "vol_a3_per_cell": 657.3}

# 2
{"formula": "AcLaSmY", "functional": "PBE", "state": "optimized geometry", "cell": [[-1.894, 2.182, -5.194], [-5.733, 1.389, -0.727], [-1.649, 5.695, -0.407]], "species": ["Y", "Ac", "Sm", "La"], "frac_coords": [[0.750, 0.750, 0.750], [0.500, 0.500, 0.500], [0.250, 0.250, 0.250], [0.000, 0.000, 0.000]], "magnetic_moment_mub_per_atom": 0.000, "delta_e_f_ev_per_atom": 0.10, "vol_a3_per_cell": 148.4}

# 3
{"formula": "Ac6LaSm2Y3", "functional": "PBE", "state": "optimized geometry", "cell": [[6.648, -0.003, 0.017], [-3.325, 5.757, 0.017], [-1.139, -1.972, 12.124]], "species": ["Ac", "Ac", "Ac", "Ac", "Ac", "Ac", "La", "Y", "Y", "Y", "Sm", "Sm"], "frac_coords": [[0.581, 0.915, 0.747], [0.419, 0.085, 0.253], [0.248, 0.248, 0.746], [0.085, 0.419, 0.253], [0.752, 0.752, 0.254], [0.915, 0.581, 0.747], [0.000, 0.000, 0.000], [0.833, 0.167, 0.500], [0.500, 0.500, 0.500], [0.167, 0.833, 0.500], [0.333, 0.667, 0.000], [0.667, 0.333, 0.000]], "magnetic_moment_mub_per_atom": 0.000, "delta_e_f_ev_per_atom": 0.03, "vol_a3_per_cell": 464.4}

# 4
{"formula": "AcLaSmZn", "functional": "PBE", "state": "optimized geometry", "cell": [[-0.688, 1.326, 3.465], [2.877, -2.036, 1.350], [5.631, 6.938, -1.537]], "species": ["Zn", "Sm", "La", "Ac"], "frac_coords": [[0.000, 0.000, 0.560], [0.500, 0.500, 0.375], [0.500, 0.500, 0.771], [0.000, 0.000, 0.079]], "magnetic_moment_mub_per_atom": 0.000, "de_polymorph_mev_per_atom": 0, "delta_e_f_ev_per_atom": -0.14, "vol_a3_per_cell": 129.1}

Mass density values, unit Mg/m³, following the record order: 7.24, 6.77, 7.40, 7.48.